19
Lattice="5.0169 2.8965 3.2801 -5.0169 2.8965 3.2801 0.0000 -5.7930 3.2801" Properties=species:S:1:pos:R:3 comment="CoAg6F12, optimized geometry, DFT PBE with a Hubbard U" total_energy_ev_per_cell=-69.045 total_magnetization_mub_per_cell=7.17 spacegroup=R-3 pbc="T T T"
Co 0.0000 0.0000 0.0000
Ag -0.8345 -2.2235 3.3514
Ag -1.5083 1.8344 3.3514
Ag -2.3428 -0.3890 6.4890
Ag 2.3428 0.3890 3.3514
Ag 1.5083 -1.8344 6.4890
Ag 0.8345 2.2235 6.4890
F -4.4790 -1.3371 5.5178
F -1.0816 -4.5475 4.3226
F -2.1205 -0.2025 3.8542
F -3.3974 3.2104 4.3226
F -0.8849 -1.9377 5.9862
F 1.2357 -1.7352 3.8542
F -1.2356 1.7352 5.9862
F 0.8849 1.9377 3.8542
F 3.3975 -3.2104 5.5178
F 2.1205 0.2025 5.9862
F 1.0816 4.5475 5.5178
F 4.4790 1.3371 4.3226